VASP calculation (GGA-PBE) on an optimized crystal structure of Na2Cd6Hg.

Calculated values
VASP energy = -1.0156 eV/atom
Energy of formation from the pure elements = -0.71 eV per formula unit
Theoretical density = 6.666 Mg/m³

a = 6.972 Å, b = 6.165 Å, c = 6.165 Å
α = 59.98°, β = 89.97°, γ = 89.97°
Element x y z (fractional)
Cd 0.330 0.826 0.348
Cd 0.330 0.826 0.826
Cd 0.670 0.652 0.174
Cd 0.330 0.348 0.826
Cd 0.670 0.174 0.652
Cd 0.670 0.174 0.174
Na 0.890 0.667 0.667
Na 0.110 0.333 0.333
Hg 0.000 0.000 0.000